[1]
Below is an optimized crystal structure of Ce5PuGa2Ge, with properties calculated at the PBE level.

Geometry as POSCAR:
```
Ce5PuGa2Ge
1.0
-4.1722 4.1722 6.3263
4.1722 -4.1722 6.3263
4.1722 4.1722 -6.3263
Ce Pu Ga Ge
10 2 4 2
direct
0.0000 0.0000 0.0000 Ce
0.0442 0.5442 0.8892 Ce
0.1550 0.0442 0.5000 Ce
0.3450 0.8450 0.8892 Ce
0.4558 0.3450 0.5000 Ce
0.5000 0.5000 0.0000 Ce
0.5442 0.6550 0.5000 Ce
0.6550 0.1550 0.1108 Ce
0.8450 0.9558 0.5000 Ce
0.9558 0.4558 0.1108 Ce
0.2500 0.7500 0.5000 Pu
0.7500 0.2500 0.5000 Pu
0.1084 0.3916 0.5000 Ga
0.3916 0.8916 0.2832 Ga
0.6084 0.1084 0.7168 Ga
0.8916 0.6084 0.5000 Ga
0.2500 0.2500 0.0000 Ge
0.7500 0.7500 0.0000 Ge
```

Computed properties:
Magnetization, Bohr magnetons per cell: 18.97
DFT formation energy, kJ per mole of atoms: -34.1

---

[2]
Below is an optimized crystal structure of CuMoHRu2, with properties calculated at the PBE level.

Geometry as POSCAR:
```
CuMoHRu2
1.0
3.9874 0.0000 0.0000
0.0000 3.9874 0.0000
0.0000 0.0000 3.6519
Cu Mo H Ru
1 1 1 2
direct
0.0000 0.0000 0.0000 Cu
0.5000 0.5000 0.0000 Mo
0.0000 0.0000 0.5000 H
0.0000 0.5000 0.5000 Ru
0.5000 0.0000 0.5000 Ru
```

Computed properties:
Magnetization, Bohr magnetons per cell: 0.00
Electronic total energy, eV/cell: -35.93

---

[3]
Below is an optimized crystal structure of TlCuSb, with properties calculated at the PBE level.

Geometry as POSCAR:
```
TlCuSb
1.0
-1.6610 1.6610 6.6102
1.6610 -1.6610 6.6102
1.6610 1.6610 -6.6102
Tl Cu Sb
1 1 1
direct
0.0000 0.0000 0.0000 Tl
0.6619 0.6619 0.0000 Cu
0.2708 0.2708 0.0000 Sb
```

Computed properties:
Magnetization, Bohr magnetons per cell: 0.00
Formation energy without anion corrections, eV/f.u.: 0.5

---

[4]
Below is an optimized crystal structure of Tb3Sm12Dy, with properties calculated at the PBE level.

Geometry as POSCAR:
```
Tb3Sm12Dy
1.0
5.1046 0.0000 0.0000
0.0000 5.1046 0.0000
0.0000 0.0000 20.3948
Tb Sm Dy
3 12 1
direct
0.0000 0.0000 0.0000 Tb
0.0000 0.0000 0.2503 Tb
0.0000 0.0000 0.7497 Tb
0.0000 0.5000 0.1252 Sm
0.0000 0.5000 0.3753 Sm
0.0000 0.5000 0.6247 Sm
0.0000 0.5000 0.8748 Sm
0.5000 0.0000 0.1252 Sm
0.5000 0.0000 0.3753 Sm
0.5000 0.0000 0.6247 Sm
0.5000 0.0000 0.8748 Sm
0.5000 0.5000 0.0000 Sm
0.5000 0.5000 0.2504 Sm
0.5000 0.5000 0.5000 Sm
0.5000 0.5000 0.7496 Sm
0.0000 0.0000 0.5000 Dy
```

Computed properties:
Magnetization, Bohr magnetons per cell: 0.00
DFT formation energy, kJ per mole of atoms: 1.5

---

[5]
Below is an optimized crystal structure of Ac6LaCd2, with properties calculated at the PBE level.

Geometry as POSCAR:
```
Ac6LaCd2
1.0
6.9500 -2.0414 0.0000
6.9500 2.0414 0.0000
-4.1624 0.0000 12.4955
Ac La Cd
6 1 2
direct
0.0264 0.0264 0.3318 Ac
0.3142 0.3142 0.4100 Ac
0.3179 0.3179 0.1224 Ac
0.6821 0.6821 0.8776 Ac
0.6858 0.6858 0.5900 Ac
0.9736 0.9736 0.6682 Ac
0.0000 0.0000 0.0000 La
0.3534 0.3534 0.8056 Cd
0.6466 0.6466 0.1944 Cd
```

Computed properties:
Magnetization, Bohr magnetons per cell: 0.00
DFT formation energy, kJ per mole of atoms: -11.7

---

[6]
Below is an optimized crystal structure of AcPu4S5, with properties calculated at the PBE level.

Geometry as POSCAR:
```
AcPu4S5
1.0
6.6930 -2.0095 0.0000
6.6930 2.0095 0.0000
-4.8547 0.0000 8.6136
Ac Pu S
1 4 5
direct
0.0000 0.0000 0.0000 Ac
0.2026 0.2026 0.7948 Pu
0.4016 0.4016 0.5976 Pu
0.5984 0.5984 0.4024 Pu
0.7974 0.7974 0.2052 Pu
0.0000 0.0000 0.5000 S
0.2034 0.2034 0.3129 S
0.3890 0.3890 0.1065 S
0.6110 0.6110 0.8935 S
0.7966 0.7966 0.6871 S
```

Computed properties:
Magnetization, Bohr magnetons per cell: 0.01
Formation energy without anion corrections, eV/f.u.: -17.7